DFT (PBE) results for crystalline CuPt4Br2 at its relaxed geometry.

Size of the total moment: 0.0 μB/cell
Uncorrected energy: -3.55 eV per atom
Symmetry: I4/mmm

Lattice parameters (Å, degrees): 4.776 4.776 7.232 70.72 70.72 90.00
Atoms (fractional coordinates):
Cu1 0.000 0.000 0.000
Br1 0.624 0.624 0.753
Br2 0.376 0.376 0.247
Pt1 0.811 0.811 0.379
Pt2 0.189 0.189 0.621
Pt3 0.000 0.500 0.000
Pt4 0.500 0.000 0.000

***

DFT (PBE) results for crystalline SiTeF3 at its relaxed geometry.

Size of the total moment: 2.9 μB/cell
Distance to the lowest polymorph of the same formula: 0 meV per atom
Symmetry: Pm-3m

Lattice parameters (Å, degrees): 4.363 4.363 4.363 90.00 90.00 90.00
Last column: magnetic moment on the atom in μB.
Atoms (fractional coordinates):
Si1 0.000 0.000 0.000  0.07
Te1 0.500 0.500 0.500  1.37
F1 0.000 0.500 0.000  0.10
F2 0.000 0.000 0.500  0.15
F3 0.500 0.000 0.000  0.13

***

DFT (PBE) results for crystalline Er4ZnTe2 at its relaxed geometry.

Size of the total moment: 0.0 μB/cell
Uncorrected energy: -4.42 eV per atom
Symmetry: Pbam

Lattice parameters (Å, degrees): 4.439 7.620 11.921 90.00 90.00 90.00
Atoms (fractional coordinates):
Er1 0.000 0.641 0.788
Er2 0.000 0.359 0.212
Er3 0.000 0.141 0.712
Er4 0.000 0.859 0.288
Er5 0.500 0.794 0.559
Er6 0.500 0.206 0.441
Er7 0.500 0.706 0.059
Er8 0.500 0.294 0.941
Zn1 0.000 0.000 0.500
Zn2 0.000 0.500 0.000
Te1 0.500 0.920 0.828
Te2 0.500 0.080 0.172
Te3 0.500 0.420 0.672
Te4 0.500 0.580 0.328